[1]
Hf2BeIr | PBE | optimized geometry

CIF file:
```
data_Hf2BeIr
_chemical_formula_sum 'Hf6 Be3 Ir3'
_symmetry_space_group_name_H-M 'R -3 m'
_symmetry_Int_Tables_number 166
_symmetry_space_group_name_Hall '-R 3 2"'
_cell_length_a 2.8956
_cell_length_b 2.8956
_cell_length_c 30.2332
_cell_angle_alpha 90.00
_cell_angle_beta 90.00
_cell_angle_gamma 120.00
loop_
_atom_site_label
_atom_site_type_symbol
_atom_site_fract_x
_atom_site_fract_y
_atom_site_fract_z
Hf1 Hf 0.0000 0.0000 0.0895
Be1 Be 0.0000 0.0000 0.0000
Ir1 Ir 0.0000 0.0000 0.5000
```

Calculated values
**Energy above the most stable polymorph in this dataset**: 1.002 eV per atom
**ΔE_f**: 0.426 eV per atom
**Total magnetization**: 0.00 μB/f.u.
**Total DFT energy (no corrections)**: -7.698 eV per atom

=====

[2]
Hf2BeIr2 | PBE | optimized geometry

CIF file:
```
data_Hf2BeIr2
_chemical_formula_sum 'Hf4 Be2 Ir4'
_symmetry_space_group_name_H-M 'P 4/m b m'
_symmetry_Int_Tables_number 127
_symmetry_space_group_name_Hall '-P 4 2ab'
_cell_length_a 6.1807
_cell_length_b 6.1807
_cell_length_c 4.3707
_cell_angle_alpha 90.00
_cell_angle_beta 90.00
_cell_angle_gamma 90.00
loop_
_atom_site_label
_atom_site_type_symbol
_atom_site_fract_x
_atom_site_fract_y
_atom_site_fract_z
Hf1 Hf 0.1751 0.3249 0.0000
Be1 Be 0.0000 0.0000 0.5000
Ir1 Ir 0.1468 0.6468 0.5000
```

Calculated values
**ΔE_f**: -0.579 eV per atom
**Total magnetization**: 0.00 μB/f.u.
**Total DFT energy (no corrections)**: -8.850 eV per atom

=====

[3]
Hf2BeIr | PBE | optimized geometry

CIF file:
```
data_Hf2BeIr
_chemical_formula_sum 'Hf8 Be4 Ir4'
_symmetry_space_group_name_H-M 'I -4 2 d'
_symmetry_Int_Tables_number 122
_symmetry_space_group_name_Hall 'I -4 2bw'
_cell_length_a 7.2423
_cell_length_b 7.2423
_cell_length_c 5.5593
_cell_angle_alpha 90.00
_cell_angle_beta 90.00
_cell_angle_gamma 90.00
loop_
_atom_site_label
_atom_site_type_symbol
_atom_site_fract_x
_atom_site_fract_y
_atom_site_fract_z
Hf1 Hf 0.2371 0.7500 0.1250
Be1 Be 0.0000 0.0000 0.5000
Ir1 Ir 0.0000 0.0000 0.0000
```

Calculated values
**Energy above the most stable polymorph in this dataset**: 0.729 eV per atom
**ΔE_f**: 0.153 eV per atom
**Total magnetization**: 0.00 μB/f.u.
**Total DFT energy (no corrections)**: -7.970 eV per atom

=====

[4]
Hf2BeIr6 | PBE | optimized geometry

CIF file:
```
data_Hf2BeIr6
_chemical_formula_sum 'Hf8 Be4 Ir24'
_symmetry_space_group_name_H-M 'F m -3 m'
_symmetry_Int_Tables_number 225
_symmetry_space_group_name_Hall '-F 4 2 3'
_cell_length_a 8.1328
_cell_length_b 8.1328
_cell_length_c 8.1328
_cell_angle_alpha 90.00
_cell_angle_beta 90.00
_cell_angle_gamma 90.00
loop_
_atom_site_label
_atom_site_type_symbol
_atom_site_fract_x
_atom_site_fract_y
_atom_site_fract_z
Hf1 Hf 0.2500 0.2500 0.2500
Be1 Be 0.0000 0.0000 0.0000
Ir1 Ir 0.0000 0.0000 0.2615
```

Calculated values
**ΔE_f**: -0.748 eV per atom
**Total magnetization**: 0.00 μB/f.u.
**Total DFT energy (no corrections)**: -9.281 eV per atom